[1]
Density functional theory data (GGA-PBE) for Sm3SiP2Rh9 after structural relaxation.

For the uncorrected energy, the calculation gives -0.5252 Ry/atom. Its total magnetization is 0.00 Bohr magnetons per cell. As for the crystal system: trigonal.

The space group is P-3m1 (No. 164) and the conventional cell measures 6.1280, 6.1280 and 8.4403 Å, with angles of 90.00, 90.00 and 120.00 degrees. Symmetry generates all atoms from Sm at (0.0000, 0.0000, 0.0000), Sm at (0.3333, 0.6667, 0.6617), Si at (0.0000, 0.0000, 0.5000), P at (0.3333, 0.6667, 0.1697), Rh at (0.0000, 0.5000, 0.0000) and Rh at (0.1516, 0.3032, 0.2938).

[2]
Density functional theory data (GGA-PBE) for Sm2SiPRh6 after structural relaxation.

For the uncorrected energy, the calculation gives -0.5261 Ry/atom. Its total magnetization is 0.00 Bohr magnetons per cell. As for the crystal system: orthorhombic.

The space group is Pmmn (No. 59, origin choice 2) and the conventional cell measures 5.7688, 8.6280 and 7.2763 Å, with angles of 90.00, 90.00 and 90.00 degrees. Symmetry generates all atoms from Sm at (0.2500, 0.0213, 0.2234), Si at (0.2500, 0.7500, 0.7780), P at (0.2500, 0.2500, 0.7336), Rh at (0.0097, 0.7500, 0.0393), Rh at (0.0138, 0.7500, 0.4960) and Rh at (0.2500, 0.5016, 0.6326).

[3]
Density functional theory data (GGA-PBE) for SiSnP2Rh after structural relaxation.

For the uncorrected energy, the calculation gives -0.3617 Ry/atom. Its total magnetization is 0.00 Bohr magnetons per cell. As for the crystal system: tetragonal.

The space group is P4/mmm (No. 123) and the conventional cell measures 4.4487, 4.4487 and 5.6060 Å, with angles of 90.00, 90.00 and 90.00 degrees. Symmetry generates all atoms from Si at (0.0000, 0.0000, 0.0000), Sn at (0.5000, 0.5000, 0.0000), P at (0.0000, 0.5000, 0.5000) and Rh at (0.5000, 0.5000, 0.5000).

[4]
Density functional theory data (GGA-PBE) for Si2SnPRh after structural relaxation.

For the uncorrected energy, the calculation gives -0.2924 Ry/atom. Its total magnetization is 0.00 Bohr magnetons per cell. As for the crystal system: tetragonal.

The space group is P4/mmm (No. 123) and the conventional cell measures 5.0040, 5.0040 and 4.9193 Å, with angles of 90.00, 90.00 and 90.00 degrees. Symmetry generates all atoms from Si at (0.0000, 0.5000, 0.0000), Sn at (0.0000, 0.0000, 0.0000), P at (0.5000, 0.5000, 0.5000) and Rh at (0.0000, 0.0000, 0.5000).

[5]
Density functional theory data (GGA-PBE) for SrSiPRh3 after structural relaxation.

For the uncorrected energy, the calculation gives -0.4776 Ry/atom. Its total magnetization is 0.00 Bohr magnetons per cell. As for the crystal system: orthorhombic.

The space group is Cmcm (No. 63) and the conventional cell measures 5.7658, 13.9899 and 5.7719 Å, with angles of 90.00, 90.00 and 90.00 degrees. Symmetry generates all atoms from Sr at (0.0000, 0.2336, 0.2500), Si at (0.0000, 0.0896, 0.7500), P at (0.0000, 0.4173, 0.7500), Rh at (0.0000, 0.2563, 0.7500) and Rh at (0.2468, 0.5000, 0.0000).

[6]
Density functional theory data (GGA-PBE) for Tb3SiP2Rh9 after structural relaxation.

For the uncorrected energy, the calculation gives -0.5247 Ry/atom. Its total magnetization is 0.00 Bohr magnetons per cell. As for the crystal system: trigonal.

The space group is P-3m1 (No. 164) and the conventional cell measures 6.1144, 6.1144 and 8.3832 Å, with angles of 90.00, 90.00 and 120.00 degrees. Symmetry generates all atoms from Tb at (0.0000, 0.0000, 0.0000), Tb at (0.3333, 0.6667, 0.6745), Si at (0.0000, 0.0000, 0.5000), P at (0.3333, 0.6667, 0.1710), Rh at (0.0000, 0.5000, 0.0000) and Rh at (0.1510, 0.3020, 0.2925).

[7]
Density functional theory data (GGA-PBE) for Tb2SiPRh6 after structural relaxation.

For the uncorrected energy, the calculation gives -0.5253 Ry/atom. Its total magnetization is 0.00 Bohr magnetons per cell. As for the crystal system: orthorhombic.

The space group is Pmmn (No. 59, origin choice 2) and the conventional cell measures 5.7725, 8.5925 and 7.1961 Å, with angles of 90.00, 90.00 and 90.00 degrees. Symmetry generates all atoms from Tb at (0.2500, 0.0203, 0.2275), Si at (0.2500, 0.7500, 0.7790), P at (0.2500, 0.2500, 0.7339), Rh at (0.0089, 0.7500, 0.0389), Rh at (0.0125, 0.7500, 0.4979) and Rh at (0.2500, 0.5013, 0.6370).

[8]
Density functional theory data (GGA-PBE) for Th3SiP2Rh9 after structural relaxation.

For the uncorrected energy, the calculation gives -0.5741 Ry/atom. Its total magnetization is 0.00 Bohr magnetons per cell. As for the crystal system: trigonal.

The space group is P-3m1 (No. 164) and the conventional cell measures 5.7987, 5.7987 and 9.5437 Å, with angles of 90.00, 90.00 and 120.00 degrees. Symmetry generates all atoms from Th at (0.0000, 0.0000, 0.0000), Th at (0.3333, 0.6667, 0.6214), Si at (0.0000, 0.0000, 0.5000), P at (0.3333, 0.6667, 0.1609), Rh at (0.0000, 0.5000, 0.0000) and Rh at (0.1612, 0.3223, 0.3114).